No. 1
A geometry-optimized CeSc3Pd12 structure, computed with PBE.

Properties
* SG: P4/mmm, No. 123
* N(E_F): 8.34 states/eV/cell
* E_form: -0.85 eV/atom
* total DFT energy (no corrections): -6.298 eV per atom

abc: 4.057 4.057 16.063
angles: 90.00 90.00 90.00
Positions (direct):
Ce 0.000 0.000 0.000
Sc 0.000 0.000 0.256
Sc 0.000 0.000 0.500
Sc 0.000 0.000 0.744
Pd 0.500 0.500 0.000
Pd 0.500 0.500 0.253
Pd 0.500 0.500 0.500
Pd 0.500 0.500 0.747
Pd 0.500 0.000 0.130
Pd 0.500 0.000 0.377
Pd 0.500 0.000 0.623
Pd 0.500 0.000 0.870
Pd 0.000 0.500 0.130
Pd 0.000 0.500 0.377
Pd 0.000 0.500 0.623
Pd 0.000 0.500 0.870

***

No. 2
A geometry-optimized Ce2ScPd structure, computed with PBE.

Properties
* SG: P4/mmm, No. 123
* N(E_F): 10.61 states/eV/cell
* relative energy among the computed polymorphs: 0.000 eV per formula unit
* E_form: -0.23 eV/atom
* total DFT energy (no corrections): -6.074 eV per atom

abc: 3.753 3.753 7.150
angles: 90.00 90.00 90.00
Site moments in Bohr magnetons follow the coordinates.
Positions (direct):
Sc 0.500 0.500 0.500  0.12
Pd 0.500 0.500 0.000  -0.02
Ce 0.000 0.000 0.788  0.56
Ce 0.000 0.000 0.212  0.56

***

No. 3
A geometry-optimized Ce2ScPd structure, computed with PBE.

Properties
* SG: R-3m, No. 166
* N(E_F): 8.11 states/eV/cell
* relative energy among the computed polymorphs: 0.696 eV per formula unit
* E_form: -0.05 eV/atom
* total DFT energy (no corrections): -5.900 eV per atom

abc: 3.083 3.083 11.052
angles: 81.98 81.98 60.00
Positions (direct):
Sc 0.000 0.000 0.000
Pd 0.500 0.500 0.500
Ce 0.091 0.091 0.728
Ce 0.909 0.909 0.272

***

No. 4
A geometry-optimized CeScPd2 structure, computed with PBE.

Properties
* SG: P4/mmm, No. 123
* N(E_F): 6.17 states/eV/cell
* E_form: -0.76 eV/atom
* total DFT energy (no corrections): -6.420 eV per atom

abc: 3.312 3.312 7.345
angles: 90.00 90.00 90.00
Site moments in Bohr magnetons follow the coordinates.
Positions (direct):
Sc 0.500 0.500 0.000  0.01
Pd 0.000 0.000 0.786  -0.01
Pd 0.000 0.000 0.214  -0.01
Ce 0.500 0.500 0.500  0.72

***

No. 5
A geometry-optimized CeSc2Pd structure, computed with PBE.

Properties
* SG: R3m, No. 160
* N(E_F): 7.39 states/eV/cell
* E_form: -0.23 eV/atom
* total DFT energy (no corrections): -6.175 eV per atom

abc: 3.246 3.246 9.999
angles: 80.66 80.66 60.00
Site moments in Bohr magnetons follow the coordinates.
Positions (direct):
Ce 0.501 0.501 0.497  0.29
Sc 0.070 0.070 0.789  0.02
Sc 0.262 0.262 0.213  0.01
Pd 0.666 0.666 0.001  0.00

***

No. 6
A geometry-optimized CeScPd structure, computed with PBE.

Properties
* SG: P2_1/m, No. 11
* N(E_F): 35.33 states/eV/cell
* relative energy among the computed polymorphs: 0.000 eV per formula unit
* E_form: -0.49 eV/atom
* total DFT energy (no corrections): -6.305 eV per atom

abc: 4.761 6.739 13.041
angles: 91.14 90.00 90.00
Site moments in Bohr magnetons follow the coordinates.
Positions (direct):
Ce 0.750 0.528 0.368  0.68
Ce 0.250 0.065 0.707  0.65
Ce 0.750 0.935 0.293  0.65
Ce 0.750 0.580 0.063  0.65
Ce 0.250 0.472 0.632  0.68
Ce 0.250 0.420 0.937  0.65
Pd 0.250 0.822 0.879  0.00
Pd 0.750 0.304 0.770  0.01
Pd 0.750 0.754 0.562  0.00
Pd 0.750 0.178 0.121  0.00
Pd 0.250 0.246 0.438  0.00
Pd 0.250 0.696 0.230  0.01
Sc 0.250 0.948 0.077  0.01
Sc 0.250 0.850 0.459  0.08
Sc 0.750 0.691 0.776  0.00
Sc 0.750 0.150 0.541  0.08
Sc 0.250 0.309 0.224  0.00
Sc 0.750 0.052 0.923  0.01

***

No. 7
A geometry-optimized CeScPd structure, computed with PBE.

Properties
* SG: P3m1, No. 156
* N(E_F): 6.83 states/eV/cell
* relative energy among the computed polymorphs: 0.553 eV per formula unit
* E_form: -0.30 eV/atom
* total DFT energy (no corrections): -6.121 eV per atom

abc: 3.587 4.720 4.720
angles: 120.00 90.00 90.00
Site moments in Bohr magnetons follow the coordinates.
Positions (direct):
Sc 0.549 0.667 0.333  0.07
Pd 0.434 0.333 0.667  -0.01
Ce 0.017 0.000 0.000  0.66

***

No. 8
A geometry-optimized CeSc2Pd structure, computed with PBE.

Properties
* SG: R-3m, No. 166
* N(E_F): 7.33 states/eV/cell
* E_form: -0.23 eV/atom
* total DFT energy (no corrections): -6.176 eV per atom

abc: 3.275 3.275 9.848
angles: 80.43 80.43 60.00
Positions (direct):
Sc 0.262 0.262 0.213
Sc 0.738 0.738 0.787
Pd 0.000 0.000 0.000
Ce 0.500 0.500 0.500

***

No. 9
A geometry-optimized CeSc5Pd6 structure, computed with PBE.

Properties
* SG: P2/m, No. 10
* N(E_F): 12.92 states/eV/cell
* E_form: -0.83 eV/atom
* total DFT energy (no corrections): -6.555 eV per atom

abc: 4.786 6.606 7.605
angles: 90.00 108.49 90.00
Site moments in Bohr magnetons follow the coordinates.
Positions (direct):
Sc 0.665 0.500 0.333  0.01
Sc 0.331 0.000 0.660  0.03
Sc 0.000 0.500 0.000  0.07
Sc 0.669 0.000 0.340  0.03
Sc 0.335 0.500 0.667  0.01
Pd 0.828 0.743 0.652  0.00
Pd 0.828 0.257 0.652  0.00
Pd 0.500 0.266 0.000  0.00
Pd 0.500 0.734 0.000  0.00
Pd 0.172 0.743 0.348  0.00
Pd 0.172 0.257 0.348  0.00
Ce 0.000 0.000 0.000  0.66

***

No. 10
A geometry-optimized Ce4ScPd15 structure, computed with PBE.

Properties
* SG: P4/mmm, No. 123
* N(E_F): 16.14 states/eV/cell
* E_form: -0.83 eV/atom
* total DFT energy (no corrections): -6.231 eV per atom

abc: 4.136 4.136 20.563
angles: 90.00 90.00 90.00
Site moments in Bohr magnetons follow the coordinates.
Positions (direct):
Ce 0.000 0.000 0.194  0.38
Ce 0.000 0.000 0.398  0.45
Ce 0.000 0.000 0.602  0.45
Ce 0.000 0.000 0.806  0.38
Sc 0.000 0.000 0.000  0.00
Pd 0.500 0.500 0.000  0.00
Pd 0.500 0.500 0.196  -0.02
Pd 0.500 0.500 0.399  -0.02
Pd 0.500 0.500 0.601  -0.02
Pd 0.500 0.500 0.804  -0.02
Pd 0.500 0.000 0.095  -0.01
Pd 0.500 0.000 0.297  -0.02
Pd 0.500 0.000 0.500  -0.02
Pd 0.500 0.000 0.703  -0.02
Pd 0.500 0.000 0.905  -0.01
Pd 0.000 0.500 0.095  -0.01
Pd 0.000 0.500 0.297  -0.02
Pd 0.000 0.500 0.500  -0.02
Pd 0.000 0.500 0.703  -0.02
Pd 0.000 0.500 0.905  -0.01

***

No. 11
A geometry-optimized Ce3ScPd12 structure, computed with PBE.

Properties
* SG: P4/mmm, No. 123
* N(E_F): 10.59 states/eV/cell
* E_form: -0.84 eV/atom
* total DFT energy (no corrections): -6.238 eV per atom

abc: 4.125 4.125 16.427
angles: 90.00 90.00 90.00
Site moments in Bohr magnetons follow the coordinates.
Positions (direct):
Ce 0.000 0.000 0.244  0.34
Ce 0.000 0.000 0.500  0.39
Ce 0.000 0.000 0.756  0.34
Sc 0.000 0.000 0.000  0.00
Pd 0.500 0.500 0.000  -0.01
Pd 0.500 0.500 0.246  -0.01
Pd 0.500 0.500 0.500  -0.02
Pd 0.500 0.500 0.754  -0.01
Pd 0.500 0.000 0.119  -0.01
Pd 0.500 0.000 0.373  -0.02
Pd 0.500 0.000 0.627  -0.02
Pd 0.500 0.000 0.881  -0.01
Pd 0.000 0.500 0.119  -0.01
Pd 0.000 0.500 0.373  -0.02
Pd 0.000 0.500 0.627  -0.02
Pd 0.000 0.500 0.881  -0.01

***

No. 12
A geometry-optimized CeSc2Pd7 structure, computed with PBE.

Properties
* SG: Cmmm, No. 65
* N(E_F): 6.99 states/eV/cell
* E_form: -0.32 eV/atom
* total DFT energy (no corrections): -5.811 eV per atom

abc: 4.362 7.833 7.833
angles: 125.47 90.00 90.00
Site moments in Bohr magnetons follow the coordinates.
Positions (direct):
Ce 0.000 0.000 0.000  0.28
Sc 0.500 0.695 0.305  0.01
Sc 0.500 0.305 0.695  0.01
Pd 0.000 0.802 0.198  -0.01
Pd 0.000 0.198 0.802  -0.01
Pd 0.500 0.080 0.292  -0.01
Pd 0.500 0.920 0.708  -0.01
Pd 0.500 0.292 0.080  -0.01
Pd 0.500 0.708 0.920  -0.01
Pd 0.500 0.500 0.500  0.00